(1)
Material: CeBe2Pt2
Method: DFT, PBE
State: optimized geometry

a b c (Å): 5.8479 5.5229 4.1264
angles (deg): 72.99 64.57 42.44
Positions (direct):
Ce 0.0000 0.0000 0.0000
Be 0.2500 0.2500 0.2500
Be 0.7500 0.7500 0.7500
Pt 0.3579 0.3579 0.6421
Pt 0.6421 0.6421 0.3579

- calculated density (g/cm³) = 11.2
- space-group type = Fmmm
- VASP energy (eV per atom) = -5.891
- ΔE_f (meV per atom) = -797
- energy relative to the lowest polymorph listed for this composition (eV/atom) = 0.030


(2)
Material: Sb3RhC
Method: DFT, PBE
State: optimized geometry

a b c (Å): 5.1179 5.1179 5.1179
angles (deg): 90.00 90.00 90.00
Positions (direct):
Sb 0.0000 0.0000 0.5000
Sb 0.0000 0.5000 0.0000
Sb 0.5000 0.0000 0.0000
Rh 0.0000 0.0000 0.0000
C 0.5000 0.5000 0.5000

- E_form (uncorrected) (eV/atom) = 1.564
- calculated density (g/cm³) = 5.9
- space-group type = Pm-3m
- VASP energy (eV per atom) = -4.224
- energy relative to the lowest polymorph listed for this composition (eV/atom) = 0.578


(3)
Material: Ba2LiMgHg6
Method: DFT, PBE
State: optimized geometry

a b c (Å): 7.5078 7.5078 7.4741
angles (deg): 119.78 119.78 90.28
Positions (direct):
Ba 0.2501 0.7499 0.0000
Ba 0.7499 0.2501 0.0000
Li 0.0000 0.0000 0.5000
Mg 0.5000 0.5000 0.5000
Hg 0.2400 0.2400 0.5001
Hg 0.2400 0.2400 0.9800
Hg 0.2401 0.7599 0.5000
Hg 0.7599 0.2401 0.5000
Hg 0.7600 0.7600 0.0200
Hg 0.7600 0.7600 0.4999

- calculated density (g/cm³) = 8.4
- space-group type = C2/m
- VASP energy (eV per atom) = -1.245
- ΔE_f (meV per atom) = -328


no.,magnetic moment (μB per atom)
1,0.07
2,0.18
3,0.00